No. 1
The following is a PBE-GGA calculation of crystalline AcPaTc2 at its relaxed geometry, from the Alexandria database.

Energy relative to the lowest polymorph listed for this composition, meV per atom: 299
Spin magnetization, μB/cell: 0.00
ΔH_f (0 K), eV per formula unit: 1.4

Structure (CIF):
```
data_AcPaTc2
_chemical_formula_sum 'Ac1 Pa1 Tc2'
_symmetry_space_group_name_H-M 'P 1'
_symmetry_Int_Tables_number 1
_cell_length_a 5.040
_cell_length_b 5.040
_cell_length_c 3.555
_cell_angle_alpha 90.00
_cell_angle_beta 90.00
_cell_angle_gamma 90.00
loop_
_symmetry_equiv_pos_as_xyz
'x,y,z'
loop_
_atom_site_label
_atom_site_fract_x
_atom_site_fract_y
_atom_site_fract_z
Ac1 0.000 0.000 0.000
Pa1 0.500 0.500 0.000
Tc1 0.000 0.500 0.500
Tc2 0.500 0.000 0.500
```

No. 2
The following is a PBE-GGA calculation of crystalline AcPaTc2 at its relaxed geometry, from the Alexandria database.

Energy relative to the lowest polymorph listed for this composition, meV per atom: 0
Spin magnetization, μB/cell: 0.00
ΔH_f (0 K), eV per formula unit: 0.2

Structure (CIF):
```
data_AcPaTc2
_chemical_formula_sum 'Ac1 Pa1 Tc2'
_symmetry_space_group_name_H-M 'P 1'
_symmetry_Int_Tables_number 1
_cell_length_a 3.454
_cell_length_b 3.454
_cell_length_c 7.651
_cell_angle_alpha 90.00
_cell_angle_beta 90.00
_cell_angle_gamma 90.00
loop_
_symmetry_equiv_pos_as_xyz
'x,y,z'
loop_
_atom_site_label
_atom_site_fract_x
_atom_site_fract_y
_atom_site_fract_z
Ac1 0.000 0.000 0.000
Pa1 0.000 0.000 0.500
Tc1 0.500 0.500 0.308
Tc2 0.500 0.500 0.692
```

No. 3
The following is a PBE-GGA calculation of crystalline AcPaZnTc at its relaxed geometry, from the Alexandria database.

Spin magnetization, μB/cell: 0.00
ΔH_f (0 K), eV per formula unit: 0.8

Structure (CIF):
```
data_AcPaZnTc
_chemical_formula_sum 'Ac1 Pa1 Zn1 Tc1'
_symmetry_space_group_name_H-M 'P 1'
_symmetry_Int_Tables_number 1
_cell_length_a 5.123
_cell_length_b 5.123
_cell_length_c 5.123
_cell_angle_alpha 60.00
_cell_angle_beta 60.00
_cell_angle_gamma 60.00
loop_
_symmetry_equiv_pos_as_xyz
'x,y,z'
loop_
_atom_site_label
_atom_site_fract_x
_atom_site_fract_y
_atom_site_fract_z
Ac1 0.000 0.000 0.000
Pa1 0.500 0.500 0.500
Zn1 0.750 0.750 0.750
Tc1 0.250 0.250 0.250
```

No. 4
The following is a PBE-GGA calculation of crystalline AcPaTe2 at its relaxed geometry, from the Alexandria database.

Energy relative to the lowest polymorph listed for this composition, meV per atom: 88
Formation energy without anion corrections, eV/f.u.: -3.5
Spin magnetization, μB/cell: 1.91

Structure (CIF):
```
data_AcPaTe2
_chemical_formula_sum 'Ac1 Pa1 Te2'
_symmetry_space_group_name_H-M 'P 1'
_symmetry_Int_Tables_number 1
_cell_length_a 5.538
_cell_length_b 5.538
_cell_length_c 5.538
_cell_angle_alpha 60.00
_cell_angle_beta 60.00
_cell_angle_gamma 60.00
loop_
_symmetry_equiv_pos_as_xyz
'x,y,z'
loop_
_atom_site_label
_atom_site_fract_x
_atom_site_fract_y
_atom_site_fract_z
Ac1 0.000 0.000 0.000
Pa1 0.500 0.500 0.500
Te1 0.250 0.250 0.250
Te2 0.750 0.750 0.750
```

No. 5
The following is a PBE-GGA calculation of crystalline Ac3PaTe6 at its relaxed geometry, from the Alexandria database.

Formation energy without anion corrections, eV/f.u.: -12.6
Spin magnetization, μB/cell: 4.04

Structure (CIF):
```
data_Ac3PaTe6
_chemical_formula_sum 'Ac6 Pa2 Te12'
_symmetry_space_group_name_H-M 'P 1'
_symmetry_Int_Tables_number 1
_cell_length_a 10.168
_cell_length_b 10.168
_cell_length_c 7.977
_cell_angle_alpha 90.00
_cell_angle_beta 90.00
_cell_angle_gamma 100.91
loop_
_symmetry_equiv_pos_as_xyz
'x,y,z'
loop_
_atom_site_label
_atom_site_fract_x
_atom_site_fract_y
_atom_site_fract_z
Ac1 0.099 0.901 0.500
Ac2 0.211 0.416 0.614
Ac3 0.416 0.211 0.114
Ac4 0.584 0.789 0.614
Ac5 0.789 0.584 0.114
Ac6 0.901 0.099 0.000
Pa1 0.344 0.656 0.119
Pa2 0.656 0.344 0.619
Te1 0.082 0.594 0.309
Te2 0.128 0.196 0.305
Te3 0.196 0.128 0.805
Te4 0.267 0.733 0.772
Te5 0.406 0.918 0.309
Te6 0.494 0.506 0.376
Te7 0.506 0.494 0.876
Te8 0.594 0.082 0.809
Te9 0.733 0.267 0.272
Te10 0.804 0.872 0.305
Te11 0.872 0.804 0.805
Te12 0.918 0.406 0.809
```

No. 6
The following is a PBE-GGA calculation of crystalline AcPaTe2 at its relaxed geometry, from the Alexandria database.

Energy relative to the lowest polymorph listed for this composition, meV per atom: 0
Formation energy without anion corrections, eV/f.u.: -3.8
Spin magnetization, μB/cell: 1.45

Structure (CIF):
```
data_AcPaTe2
_chemical_formula_sum 'Ac1 Pa1 Te2'
_symmetry_space_group_name_H-M 'P 1'
_symmetry_Int_Tables_number 1
_cell_length_a 3.878
_cell_length_b 3.878
_cell_length_c 7.892
_cell_angle_alpha 90.00
_cell_angle_beta 90.00
_cell_angle_gamma 90.00
loop_
_symmetry_equiv_pos_as_xyz
'x,y,z'
loop_
_atom_site_label
_atom_site_fract_x
_atom_site_fract_y
_atom_site_fract_z
Ac1 0.000 0.000 0.000
Pa1 0.000 0.000 0.500
Te1 0.500 0.500 0.274
Te2 0.500 0.500 0.726
```

No. 7
The following is a PBE-GGA calculation of crystalline AcPa2Te7 at its relaxed geometry, from the Alexandria database.

Formation energy without anion corrections, eV/f.u.: -8.0
Spin magnetization, μB/cell: 0.00

Structure (CIF):
```
data_AcPa2Te7
_chemical_formula_sum 'Ac1 Pa2 Te7'
_symmetry_space_group_name_H-M 'P 1'
_symmetry_Int_Tables_number 1
_cell_length_a 13.273
_cell_length_b 13.273
_cell_length_c 13.273
_cell_angle_alpha 157.85
_cell_angle_beta 157.85
_cell_angle_gamma 31.52
loop_
_symmetry_equiv_pos_as_xyz
'x,y,z'
loop_
_atom_site_label
_atom_site_fract_x
_atom_site_fract_y
_atom_site_fract_z
Ac1 0.000 0.000 0.000
Pa1 0.326 0.326 0.000
Pa2 0.674 0.674 0.000
Te1 0.106 0.606 0.500
Te2 0.250 0.750 0.500
Te3 0.394 0.894 0.500
Te4 0.500 0.500 0.000
Te5 0.606 0.106 0.500
Te6 0.750 0.250 0.500
Te7 0.894 0.394 0.500
```

No. 8
The following is a PBE-GGA calculation of crystalline Ac2PaTe6 at its relaxed geometry, from the Alexandria database.

Formation energy without anion corrections, eV/f.u.: -10.8
Spin magnetization, μB/cell: 0.00

Structure (CIF):
```
data_Ac2PaTe6
_chemical_formula_sum 'Ac2 Pa1 Te6'
_symmetry_space_group_name_H-M 'P 1'
_symmetry_Int_Tables_number 1
_cell_length_a 8.747
_cell_length_b 8.747
_cell_length_c 4.483
_cell_angle_alpha 90.00
_cell_angle_beta 90.00
_cell_angle_gamma 120.00
loop_
_symmetry_equiv_pos_as_xyz
'x,y,z'
loop_
_atom_site_label
_atom_site_fract_x
_atom_site_fract_y
_atom_site_fract_z
Ac1 0.333 0.667 0.000
Ac2 0.667 0.333 0.000
Pa1 0.000 0.000 0.500
Te1 0.000 0.245 0.000
Te2 0.000 0.606 0.500
Te3 0.245 0.000 0.000
Te4 0.394 0.394 0.500
Te5 0.606 0.000 0.500
Te6 0.755 0.755 0.000
```